CuTeAu4 PBE relaxed; calculated density = 13.36 Mg/m³; E_form (uncorrected) = 250 meV/atom; E = -3.1415 eV per atom
1.0
0.0000 3.9329 3.9329
3.9329 0.0000 3.9329
3.9329 3.9329 0.0000
Cu Te Au
1 1 4
Direct
0.0000 0.0000 0.0000
0.7500 0.7500 0.7500
0.3745 0.3745 0.3745
0.3745 0.3745 0.8766
0.3745 0.8766 0.3745
0.8766 0.3745 0.3745

Si2Os3 PBE relaxed; calculated density = 14.60 Mg/m³; E_form (uncorrected) = -55 meV/atom; energy above the lowest structure with this stoichiometry = 0 meV/atom; E = -8.9617 eV per atom
1.0
0.0000 5.5764 2.4451
5.2285 0.0000 2.4451
5.2285 5.5764 0.0000
Si Os
4 6
Direct
0.1579 0.8421 0.2557
0.5057 0.9943 0.4079
0.8421 0.1579 0.7443
0.9943 0.5057 0.0921
0.2185 0.2185 0.2815
0.4575 0.4581 0.3614
0.4581 0.4575 0.7229
0.5271 0.8886 0.7919
0.8886 0.5271 0.7925
0.9685 0.9685 0.0315

As2RhAuCl PBE relaxed; calculated density = 7.71 Mg/m³; E_form (uncorrected) = 1054 meV/atom; E = -3.3009 eV per atom
1.0
4.8842 0.0000 0.0000
0.0000 4.8842 0.0000
0.0000 0.0000 4.3789
As Rh Au Cl
2 1 1 1
Direct
0.0000 0.5000 0.0000
0.5000 0.0000 0.0000
0.0000 0.0000 0.5000
0.5000 0.5000 0.5000
0.0000 0.0000 0.0000

Cs3NaSi PBE relaxed; calculated density = 1.80 Mg/m³; E_form (uncorrected) = 649 meV/atom; E = -1.2114 eV per atom
1.0
7.4578 0.0000 0.0000
0.0000 7.4578 0.0000
0.0000 0.0000 7.4578
Cs Na Si
3 1 1
Direct
0.0000 0.0000 0.5000
0.0000 0.5000 0.0000
0.5000 0.0000 0.0000
0.0000 0.0000 0.0000
0.5000 0.5000 0.5000